Compound: AlCr2Ge2
Source: Alexandria via LeMat-Bulk
Functional: GGA-PBE
Structure: relaxed

a = 6.6273 Å, b = 6.6273 Å, c = 3.2669 Å
α = 90.00°, β = 90.00°, γ = 90.00°
Atoms (fractional coordinates):
Al1 0.0000 0.0000 0.0000
Al2 0.5000 0.5000 0.0000
Cr1 0.1458 0.3542 0.0000
Cr2 0.3542 0.8542 0.0000
Cr3 0.6458 0.1458 0.0000
Cr4 0.8542 0.6458 0.0000
Ge1 0.1514 0.6514 0.5000
Ge2 0.3486 0.1514 0.5000
Ge3 0.6514 0.8486 0.5000
Ge4 0.8486 0.3486 0.5000

distance to the lowest polymorph of the same formula: 0 meV/atom
magnetization: 2.71 μB/cell
ΔH_f (0 K): 0.12 eV per atom
calculated total energy: -0.4648 Ry per atom